[1]
DFT (PBE) results for a relaxed structure of ErThSn2.

Cell and atoms, written as POSCAR:
```
ErThSn2
1.0
-1.891 -1.772 2.362
1.280 -3.019 -1.240
6.733 0.490 5.758
Sn Th Er
2 1 1
Cartesian
5.119 0.373 4.378
1.614 0.118 1.380
3.061 -2.150 3.440
-0.305 -2.396 0.561
```

Total energy: -5.537 eV per atom
Energy relative to the elements: -540 meV/atom
Size of the total moment: 0.00 μB per formula unit


[2]
DFT (PBE) results for a relaxed structure of InNiTeI2.

Cell and atoms, written as POSCAR:
```
InNiTeI2
1.0
-3.899 -2.363 3.669
-3.565 -1.112 -4.505
2.499 -5.201 -0.694
I Ni In Te
2 1 1 1
Cartesian
-1.950 -1.182 1.834
-1.783 -0.556 -2.253
-2.483 -4.338 -0.766
0.000 0.000 0.000
1.249 -2.600 -0.347
```

Total energy: -2.235 eV per atom
Size of the total moment: 1.52 μB per formula unit


[3]
DFT (PBE) results for a relaxed structure of Dy2MgSi3Pt12.

Cell and atoms, written as POSCAR:
```
Dy2MgSi3Pt12
1.0
7.455 -0.476 -0.338
3.268 6.718 -0.338
3.268 1.902 6.452
Si Pt Dy Mg
3 12 2 1
Cartesian
1.634 0.951 3.226
1.634 3.359 -0.169
3.728 -0.238 -0.169
10.447 3.772 5.122
4.991 5.505 3.905
5.551 0.922 0.654
9.000 2.639 1.872
6.739 6.522 1.872
7.251 4.221 0.239
6.739 3.923 5.537
10.447 6.081 1.867
3.543 2.062 3.909
7.251 1.621 3.905
3.543 4.371 0.654
8.440 7.221 5.122
5.514 3.210 2.277
8.476 4.934 3.499
0.000 0.000 0.000
```

Total energy: -6.080 eV per atom
Size of the total moment: 0.00 μB per formula unit


[4]
DFT (PBE) results for a relaxed structure of MgCrFe2.

Cell and atoms, written as POSCAR:
```
MgCrFe2
1.0
-2.888 -0.833 0.395
1.265 -3.585 1.691
0.002 1.762 3.735
Cr Mg Fe
1 1 2
Cartesian
0.634 -0.911 2.713
-1.443 0.464 2.065
0.000 0.000 0.000
-0.811 -2.209 1.043
```

Total energy: -6.585 eV per atom
Energy relative to the elements: 450 meV/atom
Size of the total moment: 5.82 μB per formula unit


[5]
DFT (PBE) results for a relaxed structure of ZrNpTcIr.

Cell and atoms, written as POSCAR:
```
ZrNpTcIr
1.0
-2.248 -3.230 -2.622
-1.543 -4.003 1.990
-4.638 -0.712 0.589
Tc Np Zr Ir
1 1 1 1
Cartesian
-4.214 -3.973 -0.021
-6.322 -5.959 -0.032
-2.107 -1.986 -0.011
0.000 0.000 0.000
```

Total energy: -10.476 eV per atom
Energy relative to the elements: -297 meV/atom
Size of the total moment: 3.35 μB per formula unit


[6]
DFT (PBE) results for a relaxed structure of CuBS4.

Cell and atoms, written as POSCAR:
```
CuBS4
1.0
-2.219 -1.866 2.341
4.061 -4.414 0.331
6.125 3.240 8.388
B S Cu
2 8 2
Cartesian
3.984 -1.520 5.530
0.000 0.000 0.000
4.639 -2.976 4.991
7.259 -0.931 6.139
4.561 -0.082 10.189
3.406 -2.958 0.871
1.057 -1.277 2.950
6.910 -1.763 8.110
3.329 -0.064 6.069
0.708 -2.109 4.921
0.921 -3.140 1.336
3.062 1.620 4.194
```

Total energy: -4.491 eV per atom
Size of the total moment: 0.00 μB per formula unit


What is the total energy in the fourth record? -6.585 eV per atom